{"formula": "Co2Mo3C", "functional": "PBE", "state": "optimized geometry", "cell": [[-2.5257, -2.7502, 5.5736], [5.9777, -2.7220, 1.3658], [1.7015, 5.4804, 3.4752]], "species": ["Co", "Co", "Co", "Co", "Co", "Co", "Co", "Co", "Mo", "Mo", "Mo", "Mo", "Mo", "Mo", "Mo", "Mo", "Mo", "Mo", "Mo", "Mo", "C", "C", "C", "C"], "frac_coords": [[0.6784, 0.6784, 0.6784], [0.0716, 0.0716, 0.0716], [0.3216, 0.1784, 0.8216], [0.1784, 0.8216, 0.3216], [0.5716, 0.4284, 0.9284], [0.9284, 0.5716, 0.4284], [0.4284, 0.9284, 0.5716], [0.8216, 0.3216, 0.1784], [0.8750, 0.7018, 0.0482], [0.1250, 0.2018, 0.4518], [0.2018, 0.4518, 0.1250], [0.9518, 0.3750, 0.7982], [0.6250, 0.2982, 0.5482], [0.2982, 0.5482, 0.6250], [0.7018, 0.0482, 0.8750], [0.7982, 0.9518, 0.3750], [0.0482, 0.8750, 0.7018], [0.3750, 0.7982, 0.9518], [0.4518, 0.1250, 0.2018], [0.5482, 0.6250, 0.2982], [0.3750, 0.3750, 0.3750], [0.6250, 0.8750, 0.1250], [0.1250, 0.6250, 0.8750], [0.8750, 0.1250, 0.6250]], "delta_e_f_ev_per_atom": 0.01, "m_tot_mub_per_cell": 9.0, "total_energy_ry_per_atom": -0.6844, "dos_ef_per_ev_atom": 1.078, "mass_density_g_cm3": 9.2}